[1]
Entry from the Alexandria database: a relaxed structure of NaSr3Ni (PBE).

a b c (Å): 5.9088 5.9088 5.9088
angles (deg): 90.00 90.00 90.00
Closest atoms and distances in Å follow each position.
Fractional coordinates of all 5 atoms:
Na 0.0000 0.0000 0.0000  12 Sr 4.18
Sr 0.0000 0.5000 0.5000  2 Ni 2.95
Sr 0.5000 0.0000 0.5000  2 Ni 2.95
Sr 0.5000 0.5000 0.0000  2 Ni 2.95
Ni 0.5000 0.5000 0.5000  6 Sr 2.95

Calculated values
Formation energy ... -0.012 eV per atom
Polymorph energy (0 for the lowest one) ... 0.04 eV per formula unit
Raw total energy ... -2.44 eV per atom
Density of states at the Fermi level ... 2.46 states/eV per cell

[2]
Entry from the Alexandria database: a relaxed structure of Na2Sr4Ni (PBE).

a b c (Å): 5.7829 5.7829 18.9760
angles (deg): 90.00 90.00 90.00
Closest atoms and distances in Å follow each position.
Fractional coordinates of all 14 atoms:
Na 0.0000 0.0000 0.1382  9 Sr 3.83-4.11
Na 0.0000 0.0000 0.8618  9 Sr 3.83-4.11
Na 0.5000 0.5000 0.3618  9 Sr 3.83-4.11
Na 0.5000 0.5000 0.6382  9 Sr 3.83-4.11
Sr 0.0000 0.0000 0.3402  1 Ni 3.03
Sr 0.0000 0.0000 0.6598  1 Ni 3.03
Sr 0.0000 0.5000 0.0000  2 Ni 2.89
Sr 0.0000 0.5000 0.5000  2 Ni 2.89
Sr 0.5000 0.0000 0.0000  2 Ni 2.89
Sr 0.5000 0.0000 0.5000  2 Ni 2.89
Sr 0.5000 0.5000 0.1598  1 Ni 3.03
Sr 0.5000 0.5000 0.8402  1 Ni 3.03
Ni 0.0000 0.0000 0.5000  6 Sr 2.89-3.03
Ni 0.5000 0.5000 0.0000  6 Sr 2.89-3.03

Calculated values
Formation energy ... 0.054 eV per atom
Polymorph energy (0 for the lowest one) ... 0.00 eV per formula unit
Raw total energy ... -2.11 eV per atom
Density of states at the Fermi level ... 9.38 states/eV per cell

[3]
Entry from the Alexandria database: a relaxed structure of NaSr2TaNi (PBE).

a b c (Å): 5.6392 5.6392 5.1686
angles (deg): 90.00 90.00 90.00
Closest atoms and distances in Å follow each position.
Fractional coordinates of all 5 atoms:
Na 0.0000 0.0000 0.0000  2 Ni 2.58
Sr 0.0000 0.5000 0.5000  2 Ni 2.82
Sr 0.5000 0.0000 0.5000  2 Ni 2.82
Ta 0.5000 0.5000 0.0000  8 Sr 3.82, 4 Na 3.99
Ni 0.0000 0.0000 0.5000  2 Na 2.58, 4 Sr 2.82

Calculated values
Formation energy ... 1.089 eV per atom
Raw total energy ... -3.37 eV per atom
Density of states at the Fermi level ... 3.93 states/eV per cell

[4]
Entry from the Alexandria database: a relaxed structure of NaSrTl2Ni (PBE).

a b c (Å): 5.2047 5.2047 5.4808
angles (deg): 90.00 90.00 90.00
Closest atoms and distances in Å follow each position.
Fractional coordinates of all 5 atoms:
Na 0.0000 0.0000 0.0000  4 Sr 3.68, 8 Tl 3.78
Sr 0.5000 0.5000 0.0000  2 Ni 2.74
Tl 0.0000 0.5000 0.5000  2 Ni 2.60
Tl 0.5000 0.0000 0.5000  2 Ni 2.60
Ni 0.5000 0.5000 0.5000  4 Tl 2.60, 2 Sr 2.74

Calculated values
Formation energy ... -0.049 eV per atom
Polymorph energy (0 for the lowest one) ... 0.00 eV per formula unit
Raw total energy ... -2.75 eV per atom
Density of states at the Fermi level ... 3.68 states/eV per cell

[5]
Entry from the Alexandria database: a relaxed structure of NaSrTl2Ni (PBE).

a b c (Å): 5.1283 5.1283 5.3024
angles (deg): 90.00 90.00 90.00
Closest atoms and distances in Å follow each position.
Fractional coordinates of all 5 atoms:
Na 0.0000 0.0000 0.0000  2 Ni 2.65
Sr 0.5000 0.5000 0.0000  4 Na 3.63, 8 Tl 3.69
Tl 0.0000 0.5000 0.5000  2 Ni 2.56
Tl 0.5000 0.0000 0.5000  2 Ni 2.56
Ni 0.0000 0.0000 0.5000  4 Tl 2.56, 2 Na 2.65

Calculated values
Formation energy ... -0.031 eV per atom
Polymorph energy (0 for the lowest one) ... 0.09 eV per formula unit
Raw total energy ... -2.73 eV per atom
Density of states at the Fermi level ... 3.81 states/eV per cell

[6]
Entry from the Alexandria database: a relaxed structure of NaSrY2Ni (PBE).

a b c (Å): 5.3237 5.3237 6.0247
angles (deg): 90.00 90.00 90.00
Closest atoms and distances in Å follow each position.
Fractional coordinates of all 5 atoms:
Na 0.0000 0.0000 0.0000  4 Sr 3.76, 8 Y 4.02
Sr 0.5000 0.5000 0.0000  2 Ni 3.01
Y 0.0000 0.5000 0.5000  2 Ni 2.66
Y 0.5000 0.0000 0.5000  2 Ni 2.66
Ni 0.5000 0.5000 0.5000  4 Y 2.66

Calculated values
Formation energy ... 0.032 eV per atom
Raw total energy ... -4.31 eV per atom
Density of states at the Fermi level ... 4.17 states/eV per cell

[7]
Entry from the Alexandria database: a relaxed structure of NaSr2YNi (PBE).

a b c (Å): 5.9934 5.9934 5.2516
angles (deg): 90.00 90.00 90.00
Closest atoms and distances in Å follow each position.
Fractional coordinates of all 5 atoms:
Na 0.0000 0.0000 0.0000  8 Sr 3.98, 4 Y 4.24
Sr 0.0000 0.5000 0.5000  2 Ni 3.00
Sr 0.5000 0.0000 0.5000  2 Ni 3.00
Y 0.5000 0.5000 0.0000  2 Ni 2.63
Ni 0.5000 0.5000 0.5000  2 Y 2.63

Calculated values
Formation energy ... 0.023 eV per atom
Raw total energy ... -3.36 eV per atom
Density of states at the Fermi level ... 3.56 states/eV per cell

[8]
Entry from the Alexandria database: a relaxed structure of NaSr2ZnNi (PBE).

a b c (Å): 5.7510 5.7510 4.8271
angles (deg): 90.00 90.00 90.00
Closest atoms and distances in Å follow each position.
Fractional coordinates of all 5 atoms:
Na 0.0000 0.0000 0.0000  8 Sr 3.75, 4 Zn 4.07
Sr 0.0000 0.5000 0.5000  2 Ni 2.88
Sr 0.5000 0.0000 0.5000  2 Ni 2.88
Zn 0.5000 0.5000 0.0000  2 Ni 2.41
Ni 0.5000 0.5000 0.5000  2 Zn 2.41

Calculated values
Formation energy ... -0.017 eV per atom
Raw total energy ... -2.36 eV per atom
Density of states at the Fermi level ... 3.00 states/eV per cell

density of states at the Fermi level of number 4 (NaSrTl2Ni)? 3.68 states/eV per cell

Which formula does entry 8 have? NaSr2ZnNi

What is the formula in the fourth record? NaSrTl2Ni

Which of these has the highest raw total energy? Na2Sr4Ni